No. 1
! Co2NiSe4, optimized geometry, DFT GGA-PBE; values from VASP
&SYSTEM
  ibrav = 0, nat = 28, ntyp = 3
/
ATOMIC_SPECIES
Co 58.93 Co.upf
Ni 58.69 Ni.upf
Se 78.96 Se.upf
CELL_PARAMETERS angstrom
6.967 0.000 0.000
0.000 6.967 0.000
0.000 0.000 9.854
ATOMIC_POSITIONS angstrom
Co 0.000 1.743 0.000
Co 0.000 5.225 4.927
Co 1.743 0.000 7.391
Co 1.743 1.743 3.695
Co 1.743 5.224 1.232
Co 5.225 0.000 2.464
Co 5.224 1.743 6.159
Co 5.224 5.224 8.623
Ni 1.743 3.484 7.391
Ni 3.484 1.743 0.000
Ni 3.484 5.224 4.927
Ni 5.224 3.484 2.464
Se 0.091 1.715 7.470
Se 0.091 5.252 7.311
Se 1.715 0.091 9.775
Se 1.715 3.387 9.797
Se 1.715 3.580 4.985
Se 1.715 6.876 5.007
Se 3.387 1.715 7.448
Se 3.387 5.253 7.333
Se 3.580 1.715 2.406
Se 3.580 5.253 2.521
Se 5.252 0.091 0.080
Se 5.253 3.387 0.057
Se 5.253 3.580 4.870
Se 5.252 6.876 4.848
Se 6.876 1.715 2.384
Se 6.876 5.252 2.543
! SG = No. 91
! Crystal system = tetragonal

No. 2
! LuGe2Os, optimized geometry, DFT GGA-PBE; values from VASP
&SYSTEM
  ibrav = 0, nat = 4, ntyp = 3
/
ATOMIC_SPECIES
Lu 174.97 Lu.upf
Ge 72.64 Ge.upf
Os 190.23 Os.upf
CELL_PARAMETERS angstrom
0.000 3.297 3.297
3.297 0.000 3.297
3.297 3.297 0.000
ATOMIC_POSITIONS angstrom
Lu 0.000 0.000 0.000
Ge 1.649 1.649 1.649
Ge 3.297 3.297 3.297
Os 4.946 4.946 4.946
! SG = No. 216
! Crystal system = cubic

No. 3
! NaHfOs, optimized geometry, DFT GGA-PBE; values from VASP
&SYSTEM
  ibrav = 0, nat = 3, ntyp = 3
/
ATOMIC_SPECIES
Na 22.99 Na.upf
Hf 178.49 Hf.upf
Os 190.23 Os.upf
CELL_PARAMETERS angstrom
0.000 3.174 3.174
3.174 0.000 3.174
3.174 3.174 0.000
ATOMIC_POSITIONS angstrom
Na 0.000 0.000 0.000
Hf 3.174 3.174 3.174
Os 4.761 4.761 4.761
! SG = No. 216
! Crystal system = cubic

No. 4
! BPPtO, optimized geometry, DFT GGA-PBE; values from VASP
&SYSTEM
  ibrav = 0, nat = 8, ntyp = 4
/
ATOMIC_SPECIES
B 10.81 B.upf
P 30.97 P.upf
Pt 195.08 Pt.upf
O 16.00 O.upf
CELL_PARAMETERS angstrom
3.597 0.000 0.000
0.000 3.597 0.000
0.000 0.000 7.714
ATOMIC_POSITIONS angstrom
B 0.899 2.698 0.000
B 2.698 0.899 0.000
P 0.899 0.899 1.117
P 2.698 2.698 6.597
Pt 0.899 0.899 5.008
Pt 2.698 2.698 2.706
O 0.899 2.698 3.857
O 2.698 0.899 3.857
! SG = No. 129
! Crystal system = tetragonal

No. 5
! Ni5W24, optimized geometry, DFT GGA-PBE; values from VASP
&SYSTEM
  ibrav = 0, nat = 29, ntyp = 2
/
ATOMIC_SPECIES
Ni 58.69 Ni.upf
W 183.84 W.upf
CELL_PARAMETERS angstrom
-4.897 4.897 4.897
4.897 -4.897 4.897
4.897 4.897 -4.897
ATOMIC_POSITIONS angstrom
Ni 0.000 0.000 0.000
Ni 3.217 3.217 -3.217
Ni 3.217 -3.217 3.217
Ni 1.680 1.680 1.680
Ni -3.217 3.217 3.217
W 2.826 0.910 -0.910
W 2.826 -0.910 0.910
W 5.369 1.382 -1.382
W 5.369 -1.382 1.382
W 6.969 0.910 0.910
W 0.910 2.826 -0.910
W 0.910 -0.910 2.826
W 4.426 1.382 1.382
W 3.516 3.516 -0.471
W 3.516 -0.471 3.516
W -0.910 2.826 0.910
W -0.910 0.910 2.826
W 1.382 5.369 -1.382
W 1.382 -1.382 5.369
W 1.382 4.426 1.382
W 1.382 1.382 4.426
W 3.987 3.987 2.072
W 3.987 2.072 3.987
W -1.382 5.369 1.382
W -1.382 1.382 5.369
W -0.471 3.516 3.516
W 0.910 6.969 0.910
W 0.910 0.910 6.969
W 2.072 3.987 3.987
! SG = No. 217
! Crystal system = cubic
! Calculated formation energy = 0.5052 eV/atom

No. 6
! TbTc4B4, optimized geometry, DFT GGA-PBE; values from VASP
&SYSTEM
  ibrav = 0, nat = 18, ntyp = 3
/
ATOMIC_SPECIES
Tb 158.93 Tb.upf
Tc 98.00 Tc.upf
B 10.81 B.upf
CELL_PARAMETERS angstrom
7.365 0.000 0.000
0.000 7.365 0.000
0.000 0.000 4.246
ATOMIC_POSITIONS angstrom
Tb 1.841 1.841 1.062
Tb 5.524 5.524 3.185
Tc 0.861 4.600 0.501
Tc 0.917 6.504 2.625
Tc 2.765 4.543 2.625
Tc 2.822 6.447 0.501
Tc 4.543 0.917 3.745
Tc 4.600 2.822 1.622
Tc 6.447 0.861 1.622
Tc 6.504 2.765 3.745
B 0.473 6.812 0.507
B 0.553 4.156 2.630
B 3.130 6.891 2.630
B 3.209 4.235 0.507
B 4.156 3.130 3.739
B 4.235 0.473 1.616
B 6.812 3.209 1.616
B 6.891 0.553 3.739
! SG = No. 86
! Crystal system = tetragonal

No. 7
! SrHoAgTe2Se, optimized geometry, DFT GGA-PBE; values from VASP
&SYSTEM
  ibrav = 0, nat = 12, ntyp = 5
/
ATOMIC_SPECIES
Sr 87.62 Sr.upf
Ho 164.93 Ho.upf
Ag 107.87 Ag.upf
Te 127.60 Te.upf
Se 78.96 Se.upf
CELL_PARAMETERS angstrom
2.150 -7.372 0.000
2.150 7.372 0.000
0.000 0.000 10.787
ATOMIC_POSITIONS angstrom
Sr 2.150 3.855 8.090
Sr 2.150 -3.855 2.697
Ho 2.150 0.000 0.000
Ho 2.150 0.000 5.393
Ag 2.150 6.987 2.697
Ag 2.150 -6.987 8.090
Te 2.150 5.211 0.565
Te 2.150 5.211 4.828
Te 2.150 -5.211 5.958
Te 2.150 -5.211 10.222
Se 2.150 1.199 2.697
Se 2.150 -1.199 8.090
! SG = No. 63
! Crystal system = orthorhombic

No. 8
! RbErNi, optimized geometry, DFT GGA-PBE; values from VASP
&SYSTEM
  ibrav = 0, nat = 3, ntyp = 3
/
ATOMIC_SPECIES
Rb 85.47 Rb.upf
Er 167.26 Er.upf
Ni 58.69 Ni.upf
CELL_PARAMETERS angstrom
0.000 3.581 3.581
3.581 0.000 3.581
3.581 3.581 0.000
ATOMIC_POSITIONS angstrom
Rb 0.000 0.000 0.000
Er 5.372 5.372 5.372
Ni 3.581 3.581 3.581
! SG = No. 216
! Crystal system = cubic

| no. | total energy (Ry per atom) |
| --- | --- |
| 1 | -0.376 |
| 2 | -0.458 |
| 3 | -0.500 |
| 4 | -0.371 |
| 5 | -0.822 |
| 6 | -0.626 |
| 7 | -0.326 |
| 8 | -0.195 |